# 1
First-principles (PBE) data for an optimized crystal structure of Pm5Nd2Tm3, as listed in Alexandria via LeMat-Bulk.

a = 9.625 Å, b = 9.688 Å, c = 11.194 Å
α = 126.13°, β = 126.00°, γ = 68.61°
Fractional coordinates of all 20 atoms:
Pm 0.019 0.769 0.538
Pm 0.481 0.731 0.462
Pm 0.398 0.153 0.771
Pm 0.873 0.617 0.771
Pm 0.519 0.269 0.538
Pm 0.981 0.231 0.462
Pm 0.602 0.847 0.229
Pm 0.283 0.533 0.066
Pm 0.127 0.383 0.229
Pm 0.717 0.467 0.934
Tm 0.269 0.540 0.763
Tm 0.731 0.460 0.237
Tm 0.775 0.025 0.051
Tm 0.994 0.223 0.763
Tm 0.006 0.777 0.237
Tm 0.225 0.975 0.949
Nd 0.786 0.021 0.756
Nd 0.470 0.735 0.756
Nd 0.214 0.979 0.244
Nd 0.530 0.265 0.244

Calculated values
The calculation puts the energy relative to the elements at 4.3 kcal/mol of atoms. The value obtained for the calculated volume is 681.8 Å³/cell.

# 2
First-principles (PBE) data for an optimized crystal structure of Pm2Nd2Tm3, as listed in Alexandria via LeMat-Bulk.

a = 5.080 Å, b = 6.208 Å, c = 9.500 Å
α = 57.03°, β = 74.49°, γ = 65.85°
Fractional coordinates of all 7 atoms:
Pm 0.929 0.431 0.712
Pm 0.071 0.569 0.288
Tm 0.500 0.000 0.000
Tm 0.357 0.858 0.428
Tm 0.643 0.142 0.572
Nd 0.787 0.282 0.145
Nd 0.213 0.718 0.855

Calculated values
The calculation puts the energy relative to the elements at 0.5 kcal/mol of atoms. The value obtained for the calculated volume is 229.0 Å³/cell.

# 3
First-principles (PBE) data for an optimized crystal structure of PmNd4Tm15, as listed in Alexandria via LeMat-Bulk.

a = 5.005 Å, b = 5.005 Å, c = 24.894 Å
α = 90.00°, β = 90.00°, γ = 90.00°
Fractional coordinates of all 20 atoms:
Tm 0.000 0.500 0.700
Tm 0.500 0.500 0.800
Tm 0.500 0.000 0.100
Tm 0.500 0.500 0.600
Tm 0.500 0.000 0.700
Tm 0.500 0.000 0.500
Tm 0.500 0.000 0.900
Tm 0.000 0.500 0.900
Tm 0.500 0.500 0.400
Tm 0.000 0.500 0.100
Tm 0.500 0.000 0.300
Tm 0.500 0.500 0.200
Tm 0.000 0.500 0.300
Tm 0.500 0.500 0.000
Tm 0.000 0.500 0.500
Nd 0.000 0.000 0.800
Nd 0.000 0.000 0.400
Nd 0.000 0.000 0.200
Nd 0.000 0.000 0.600
Pm 0.000 0.000 0.000

Calculated values
The calculation puts the energy relative to the elements at 0.6 kcal/mol of atoms. The value obtained for the calculated volume is 623.5 Å³/cell.

# 4
First-principles (PBE) data for an optimized crystal structure of Pm2Nd7Tm3, as listed in Alexandria via LeMat-Bulk.

a = 3.643 Å, b = 5.896 Å, c = 19.103 Å
α = 93.99°, β = 90.00°, γ = 90.00°
Fractional coordinates of all 12 atoms:
Nd 0.000 0.330 0.856
Nd 0.000 0.670 0.144
Nd 0.000 0.000 0.000
Nd 0.500 0.826 0.819
Nd 0.500 0.741 0.465
Nd 0.500 0.174 0.181
Nd 0.500 0.259 0.535
Pm 0.500 0.704 0.298
Pm 0.500 0.296 0.702
Tm 0.500 0.500 0.000
Tm 0.000 0.218 0.369
Tm 0.000 0.782 0.631

Calculated values
The calculation puts the energy relative to the elements at 2.0 kcal/mol of atoms. The value obtained for the calculated volume is 409.3 Å³/cell.

# 5
First-principles (PBE) data for an optimized crystal structure of Pm6Nd5Tm, as listed in Alexandria via LeMat-Bulk.

a = 12.117 Å, b = 6.322 Å, c = 6.320 Å
α = 59.99°, β = 84.99°, γ = 79.95°
Fractional coordinates of all 12 atoms:
Nd 0.000 0.667 0.667
Nd 0.000 0.333 0.333
Nd 0.500 0.500 0.000
Nd 0.500 0.166 0.667
Nd 0.500 0.834 0.333
Pm 0.249 0.250 0.000
Pm 0.752 0.082 0.332
Pm 0.248 0.918 0.668
Pm 0.752 0.414 0.668
Pm 0.248 0.586 0.332
Pm 0.751 0.750 0.000
Tm 0.000 0.000 0.000

Calculated values
The calculation puts the energy relative to the elements at 0.3 kcal/mol of atoms. The value obtained for the calculated volume is 412.8 Å³/cell.

# 6
First-principles (PBE) data for an optimized crystal structure of Pm5NdTm4, as listed in Alexandria via LeMat-Bulk.

a = 3.572 Å, b = 10.494 Å, c = 9.233 Å
α = 83.66°, β = 101.15°, γ = 90.00°
Fractional coordinates of all 10 atoms:
Pm 0.189 0.404 0.378
Pm 0.143 0.769 0.285
Pm 0.857 0.231 0.715
Pm 0.811 0.596 0.622
Pm 0.500 0.500 0.000
Tm 0.954 0.761 0.908
Tm 0.683 0.088 0.366
Tm 0.046 0.239 0.092
Tm 0.317 0.912 0.634
Nd 0.500 0.000 0.000

Calculated values
The calculation puts the energy relative to the elements at 3.6 kcal/mol of atoms. The value obtained for the calculated volume is 337.4 Å³/cell.

# 7
First-principles (PBE) data for an optimized crystal structure of Pm2Nd7Tm2, as listed in Alexandria via LeMat-Bulk.

a = 8.452 Å, b = 6.871 Å, c = 6.871 Å
α = 86.76°, β = 79.05°, γ = 79.05°
Fractional coordinates of all 11 atoms:
Nd 0.180 0.096 0.501
Nd 0.820 0.499 0.904
Nd 0.000 0.000 0.000
Nd 0.180 0.501 0.096
Nd 0.475 0.712 0.712
Nd 0.820 0.904 0.499
Nd 0.525 0.288 0.288
Tm 0.500 0.798 0.202
Tm 0.500 0.202 0.798
Pm 0.827 0.415 0.415
Pm 0.173 0.585 0.585

Calculated values
The calculation puts the energy relative to the elements at 3.8 kcal/mol of atoms. The value obtained for the calculated volume is 384.5 Å³/cell.

# 8
First-principles (PBE) data for an optimized crystal structure of Pm8NdTm6, as listed in Alexandria via LeMat-Bulk.

a = 9.216 Å, b = 9.216 Å, c = 8.610 Å
α = 57.64°, β = 57.64°, γ = 60.00°
Fractional coordinates of all 15 atoms:
Tm 0.260 0.550 0.081
Tm 0.550 0.108 0.081
Tm 0.450 0.892 0.919
Tm 0.892 0.740 0.919
Tm 0.108 0.260 0.081
Tm 0.740 0.450 0.919
Pm 0.228 0.914 0.525
Pm 0.666 0.772 0.475
Pm 0.086 0.666 0.475
Pm 0.772 0.086 0.475
Pm 0.914 0.334 0.525
Pm 0.334 0.228 0.525
Pm 0.427 0.427 0.719
Pm 0.573 0.573 0.281
Nd 0.000 0.000 0.000

Calculated values
The calculation puts the energy relative to the elements at 3.8 kcal/mol of atoms. The value obtained for the calculated volume is 497.9 Å³/cell.